First-principles (PBE) data for crystalline CrCoS2 at its relaxed geometry, as listed in Alexandria via LeMat-Bulk.

Results
* ΔE to the lowest computed polymorph: 0.3704 eV/atom
* uncorrected formation energy: -198 meV per atom
* space-group type: R-3m (166)

abc: 7.454 7.454 7.454
angles: 23.00 23.00 23.00
Sites, in units of the cell vectors:
1 Cr 0.000 0.000 0.000
2 Co 0.500 0.500 0.500
3 S 0.403 0.403 0.403
4 S 0.597 0.597 0.597